[1]
A plane-wave DFT calculation with PBE-GGA was carried out for DyHoAu2 after structural relaxation.

The structure belongs to space group P4/mmm (No. 123); the cell edges are 5.097, 5.097 and 3.566 Å and the angles 90.00°, 90.00° and 90.00°. The inequivalent atoms are Dy at (0.000, 0.000, 0.000), Ho at (0.500, 0.500, 0.000) and Au at (0.000, 0.500, 0.500).

The energy is -19.20 eV per cell. The calculation puts the formation energy at -865.6 meV/atom. The value obtained for the offset from the most stable computed form is 21.9 meV per atom. The value obtained for the total magnetization is 0.000 μB/atom. The volume comes out at 23.16 Å³/atom.

[2]
A plane-wave DFT calculation with PBE-GGA was carried out for Dy2HoAu after structural relaxation.

The structure belongs to space group R3m (No. 160, hexagonal axes); the cell edges are 3.7196, 3.7196 and 29.3740 Å and the angles 90.00°, 90.00° and 120.00°. The inequivalent atoms are Dy at (0.0000, 0.0000, 0.0000), Dy at (0.0000, 0.0000, 0.1934), Ho at (0.0000, 0.0000, 0.4305) and Au at (0.0000, 0.0000, 0.5962).

The energy is -54.56 eV per cell. The calculation puts the formation energy at -281.9 meV/atom. The value obtained for the offset from the most stable computed form is 166.3 meV per atom. The value obtained for the total magnetization is 0.140 μB/atom. The volume comes out at 29.33 Å³/atom.

[3]
A plane-wave DFT calculation with PBE-GGA was carried out for DyHo4Au5 after structural relaxation.

The structure belongs to space group P4/mmm (No. 123); the cell edges are 3.558, 3.558 and 18.205 Å and the angles 90.00°, 90.00° and 90.00°. The inequivalent atoms are Dy at (0.000, 0.000, 0.000), Ho at (0.000, 0.000, 0.200), Ho at (0.000, 0.000, 0.400), Au at (0.500, 0.500, 0.101), Au at (0.500, 0.500, 0.300) and Au at (0.500, 0.500, 0.500).

The energy is -48.02 eV per cell. The calculation puts the formation energy at -872.0 meV/atom. The value obtained for the total magnetization is 0.000 μB/atom. The volume comes out at 23.05 Å³/atom.

[4]
A plane-wave DFT calculation with PBE-GGA was carried out for Dy2HoAu after structural relaxation.

The structure belongs to space group Pnma (No. 62); the cell edges are 6.942, 9.724 and 6.668 Å and the angles 90.00°, 90.00° and 90.00°. The inequivalent atoms are Dy at (0.198, 0.055, 0.195), Ho at (0.014, 0.250, 0.617) and Au at (0.087, 0.750, 0.962).

The energy is -75.41 eV per cell. The calculation puts the formation energy at -448.1 meV/atom. The value obtained for the offset from the most stable computed form is 0.0 meV per atom. The value obtained for the total magnetization is 0.000 μB/atom. The volume comes out at 28.13 Å³/atom.

[5]
A plane-wave DFT calculation with PBE-GGA was carried out for Dy4Ho3Au4 after structural relaxation.

The structure belongs to space group Immm (No. 71); the cell edges are 4.842, 7.627 and 15.681 Å and the angles 90.00°, 90.00° and 90.00°. The inequivalent atoms are Dy at (0.000, 0.217, 0.173), Ho at (0.000, 0.000, 0.398), Ho at (0.000, 0.500, 0.500), Au at (0.000, 0.311, 0.000) and Au at (0.000, 0.500, 0.298).

The energy is -102.55 eV per cell. The calculation puts the formation energy at -547.6 meV/atom. The value obtained for the total magnetization is 0.000 μB/atom. The volume comes out at 26.32 Å³/atom.

[6]
A plane-wave DFT calculation with PBE-GGA was carried out for Dy3Ho3Au4 after structural relaxation.

The structure belongs to space group Amm2 (No. 38); the cell edges are 3.782, 11.568 and 11.510 Å and the angles 90.00°, 90.00° and 90.00°. The inequivalent atoms are Dy at (0.000, 0.000, 0.000), Dy at (0.000, 0.163, 0.338), Ho at (0.000, 0.000, 0.675), Ho at (0.500, 0.250, 0.088), Au at (0.500, 0.000, 0.205), Au at (0.500, 0.000, 0.472) and Au at (0.500, 0.133, 0.837).

The energy is -95.42 eV per cell. The calculation puts the formation energy at -706.1 meV/atom. The value obtained for the total magnetization is 0.000 μB/atom. The volume comes out at 25.18 Å³/atom.

[7]
A plane-wave DFT calculation with PBE-GGA was carried out for Dy4HoAu2 after structural relaxation.

The structure belongs to space group R-3m (No. 166, hexagonal axes); the cell edges are 4.9471, 4.9471 and 29.8782 Å and the angles 90.00°, 90.00° and 120.00°. The inequivalent atoms are Dy at (0.0000, 0.0000, 0.1029), Dy at (0.0000, 0.0000, 0.2982), Ho at (0.0000, 0.0000, 0.5000) and Au at (0.0000, 0.0000, 0.3990).

The energy is -93.99 eV per cell. The calculation puts the formation energy at -255.6 meV/atom. The value obtained for the total magnetization is 0.000 μB/atom. The volume comes out at 30.16 Å³/atom.

[8]
A plane-wave DFT calculation with PBE-GGA was carried out for DyHoAu2 after structural relaxation.

The structure belongs to space group Fm-3m (No. 225); the cell edges are 7.187, 7.187 and 7.187 Å and the angles 90.00°, 90.00° and 90.00°. The inequivalent atoms are Dy at (0.000, 0.000, 0.000), Ho at (0.000, 0.000, 0.500) and Au at (0.250, 0.250, 0.250).

The energy is -76.74 eV per cell. The calculation puts the formation energy at -862.6 meV/atom. The value obtained for the offset from the most stable computed form is 24.9 meV per atom. The value obtained for the total magnetization is 0.000 μB/atom. The volume comes out at 23.20 Å³/atom.

[9]
A plane-wave DFT calculation with PBE-GGA was carried out for Dy2HoAu3 after structural relaxation.

The structure belongs to space group P-3m1 (No. 164); the cell edges are 5.0765, 5.0765 and 6.2523 Å and the angles 90.00°, 90.00° and 120.00°. The inequivalent atoms are Dy at (0.3333, 0.6667, 0.1672), Ho at (0.0000, 0.0000, 0.5000), Au at (0.0000, 0.0000, 0.0000) and Au at (0.3333, 0.6667, 0.6652).

The energy is -28.82 eV per cell. The calculation puts the formation energy at -867.1 meV/atom. The value obtained for the total magnetization is 0.000 μB/atom. The volume comes out at 23.26 Å³/atom.

[10]
A plane-wave DFT calculation with PBE-GGA was carried out for Dy2HoAu3 after structural relaxation.

The structure belongs to space group P4/mmm (No. 123); the cell edges are 3.575, 3.575 and 10.886 Å and the angles 90.00°, 90.00° and 90.00°. The inequivalent atoms are Dy at (0.000, 0.000, 0.167), Ho at (0.000, 0.000, 0.500), Au at (0.500, 0.500, 0.000) and Au at (0.500, 0.500, 0.335).

The energy is -28.83 eV per cell. The calculation puts the formation energy at -868.7 meV/atom. The value obtained for the total magnetization is 0.000 μB/atom. The volume comes out at 23.19 Å³/atom.

[11]
A plane-wave DFT calculation with PBE-GGA was carried out for DyHoAu5 after structural relaxation.

The structure belongs to space group C2/c (No. 15); the cell edges are 6.768, 8.128 and 11.237 Å and the angles 90.00°, 107.24° and 90.00°. The inequivalent atoms are Dy at (0.250, 0.250, 0.000), Ho at (0.000, 0.183, 0.250), Au at (0.000, 0.182, 0.750), Au at (0.101, 0.497, 0.647) and Au at (0.171, 0.109, 0.542).

The energy is -121.11 eV per cell. The calculation puts the formation energy at -672.9 meV/atom. The value obtained for the total magnetization is 0.000 μB/atom. The volume comes out at 21.08 Å³/atom.

[12]
A plane-wave DFT calculation with PBE-GGA was carried out for DyHo5Au6 after structural relaxation.

The structure belongs to space group Immm (No. 71); the cell edges are 5.097, 7.089 and 15.332 Å and the angles 90.00°, 90.00° and 90.00°. The inequivalent atoms are Dy at (0.000, 0.000, 0.000), Ho at (0.000, 0.000, 0.333), Ho at (0.000, 0.500, 0.000), Ho at (0.000, 0.500, 0.333), Au at (0.000, 0.248, 0.500) and Au at (0.000, 0.251, 0.167).

The energy is -115.21 eV per cell. The calculation puts the formation energy at -870.8 meV/atom. The value obtained for the total magnetization is 0.000 μB/atom. The volume comes out at 23.08 Å³/atom.